Material: VRePt2Br
Method: DFT, PBE
State: relaxed

## Properties
The calculation puts the calculated volume at 20.52 A^3/atom. The space group is No. 123. For the energy relative to the elements, uncorrected, the calculation gives 1381 meV per atom. The calculation puts the calculated density at 11.44 g/cm3.

The structure in CIF format:
```
data_VRePt2Br
_cell_length_a 4.732
_cell_length_b 4.583
_cell_length_c 4.732
_cell_angle_alpha 90.00
_cell_angle_beta 90.00
_cell_angle_gamma 90.00
_symmetry_space_group_name_H-M 'P 1'
_symmetry_Int_Tables_number 1
_symmetry_space_group_name_Hall 'P 1'
loop_
_atom_site_label
_atom_site_type_symbol
_atom_site_fract_x
_atom_site_fract_y
_atom_site_fract_z
_atom_site_occupancy
Pt1 Pt 0.000 0.000 0.500 1
Pt2 Pt 0.500 0.000 0.000 1
Br1 Br 0.500 0.500 0.500 1
V1 V 0.000 0.000 0.000 1
Re1 Re 0.000 0.500 0.000 1
```